Below is a geometry-optimized LaSc5Sn6 structure, with properties calculated at the PBE level.

```
12
Lattice="2.980 -7.317 0.000 2.980 7.317 0.000 -1.891 0.000 6.981" Properties=species:S:1:pos:R:3 pbc="T T T"
La 0.000 0.000 0.000
Sc -0.946 0.000 3.491
Sc 2.980 2.599 0.000
Sc 2.034 2.127 3.491
Sc 2.034 -2.127 3.491
Sc 2.980 -2.599 0.000
Sn 2.377 4.734 1.949
Sn 1.692 4.734 5.032
Sn 1.316 0.000 5.393
Sn 2.752 0.000 1.588
Sn 2.377 -4.734 1.949
Sn 1.692 -4.734 5.032
```

Computed properties:
VASP energy: -67.28 eV/cell
Space group: C2/m (12)
Formation enthalpy at 0 K: -0.556 eV/atom